{
  "formula": "La4PaSb5",
  "functional": "GGA-PBE",
  "state": "optimized geometry",
  "lattice": [[-5.106, 5.106, 3.229], [5.106, -5.106, 3.229], [5.106, 5.106, -3.229]],
  "species": ["La", "La", "La", "La", "Pa", "Sb", "Sb", "Sb", "Sb", "Sb"],
  "fractional_positions": [[0.096, 0.302, 0.398], [0.302, 0.904, 0.205], [0.698, 0.096, 0.795], [0.904, 0.698, 0.602], [0.500, 0.500, 0.000], [0.000, 0.000, 0.000], [0.211, 0.597, 0.808], [0.403, 0.211, 0.614], [0.597, 0.789, 0.386], [0.789, 0.403, 0.192]],
  "crystal_system": "tetragonal",
  "e_form_raw_ev_per_atom": -1.11
}